Entry 1:
{
  "formula": "ZrCu",
  "functional": "meta-GGA SCAN",
  "state": "single point on PBEsol structure",
  "sg": "R-3m, No. 166",
  "e_form_ev_per_atom": 0.179,
  "lattice": [[3.143, 0.000, 0.000], [-1.571, 2.722, 0.000], [0.000, 0.000, 24.752]],
  "species": ["Zr", "Zr", "Zr", "Zr", "Zr", "Zr", "Cu", "Cu", "Cu", "Cu", "Cu", "Cu"],
  "fractional_positions": [[0.000, 0.000, 0.117], [0.000, 0.000, 0.883], [0.333, 0.667, 0.550], [0.333, 0.667, 0.783], [0.667, 0.333, 0.217], [0.667, 0.333, 0.450], [0.000, 0.000, 0.366], [0.000, 0.000, 0.634], [0.333, 0.667, 0.033], [0.333, 0.667, 0.301], [0.667, 0.333, 0.699], [0.667, 0.333, 0.967]]
}


Entry 2:
{
  "formula": "Ba5B4O10F2",
  "functional": "meta-GGA SCAN",
  "state": "single point on PBEsol structure",
  "sg": "C2/c, No. 15",
  "raw_formation_energy_ev_per_fu": -66.24,
  "lattice": [[10.352, -3.552, 0.000], [10.352, 3.552, 0.000], [-0.768, 0.000, 8.522]],
  "species": ["Ba", "Ba", "Ba", "Ba", "Ba", "Ba", "Ba", "Ba", "Ba", "Ba", "B", "B", "B", "B", "B", "B", "B", "B", "O", "O", "O", "O", "O", "O", "O", "O", "O", "O", "O", "O", "O", "O", "O", "O", "O", "O", "O", "O", "F", "F", "F", "F"],
  "fractional_positions": [[0.054, 0.946, 0.750], [0.086, 0.313, 0.305], [0.298, 0.532, 0.392], [0.313, 0.086, 0.805], [0.468, 0.702, 0.108], [0.532, 0.298, 0.892], [0.687, 0.914, 0.195], [0.702, 0.468, 0.608], [0.914, 0.687, 0.695], [0.946, 0.054, 0.250], [0.090, 0.722, 0.006], [0.180, 0.443, 0.084], [0.278, 0.910, 0.494], [0.443, 0.180, 0.584], [0.557, 0.820, 0.416], [0.722, 0.090, 0.506], [0.820, 0.557, 0.916], [0.910, 0.278, 0.994], [0.075, 0.551, 0.218], [0.095, 0.096, 0.041], [0.096, 0.095, 0.541], [0.150, 0.549, 0.965], [0.229, 0.689, 0.083], [0.247, 0.310, 0.560], [0.310, 0.247, 0.060], [0.311, 0.771, 0.417], [0.449, 0.925, 0.282], [0.451, 0.850, 0.535], [0.549, 0.150, 0.465], [0.551, 0.075, 0.718], [0.689, 0.229, 0.583], [0.690, 0.753, 0.940], [0.753, 0.690, 0.440], [0.771, 0.311, 0.917], [0.850, 0.451, 0.035], [0.904, 0.905, 0.459], [0.905, 0.904, 0.959], [0.925, 0.449, 0.782], [0.241, 0.596, 0.696], [0.404, 0.759, 0.804], [0.596, 0.241, 0.196], [0.759, 0.404, 0.304]]
}


> Which formula does entry 2 have?

Ba5B4O10F2